(1)
Here is a geometry-optimized Sc2PdPt structure from Alexandria. Energies are from PBE-GGA.

Values from the calculation:
- Formation enthalpy at 0 K: -409 meV per atom
- Energy above the most stable polymorph in this dataset: 681 meV per atom
- Space group: R-3m, No. 166

Cell lengths 9.0392, 9.0392, 9.0392 Å; angles 20.89, 20.89, 20.89 degrees
Last column: nearest neighbours and their distance in Å.
Atoms (fractional coordinates):
Sc (0.0938, 0.0938, 0.0938)  1 Pd 2.49, 3 Pt 2.71
Sc (0.9062, 0.9062, 0.9062)  1 Pd 2.49, 3 Pt 2.71
Pd (0.0000, 0.0000, 0.0000)  2 Sc 2.49
Pt (0.5000, 0.5000, 0.5000)  6 Sc 2.71

(2)
Here is a geometry-optimized Hf2AsO structure from Alexandria. Energies are from PBE-GGA.

Values from the calculation:
- Energy above the most stable polymorph in this dataset: 359 meV per atom
- E_form (uncorrected): -1.28 eV/atom
- Space group: I-42d, No. 122

Cell lengths 6.6332, 6.6332, 6.6332 Å; angles 132.02, 132.02, 70.20 degrees
Last column: nearest neighbours and their distance in Å.
Atoms (fractional coordinates):
Hf (0.0432, 0.6250, 0.9182)  2 O 2.12
Hf (0.3750, 0.2932, 0.4182)  2 O 2.12
Hf (0.7068, 0.1250, 0.0818)  2 O 2.12
Hf (0.8750, 0.9568, 0.5818)  2 O 2.12
As (0.2500, 0.7500, 0.5000)  4 Hf 2.62
As (0.5000, 0.5000, 0.0000)  4 Hf 2.62
O (0.0000, 0.0000, 0.0000)  4 Hf 2.12
O (0.7500, 0.2500, 0.5000)  4 Hf 2.12

(3)
Here is a geometry-optimized Ho4Cu3Pd structure from Alexandria. Energies are from PBE-GGA.

Values from the calculation:
- Formation enthalpy at 0 K: -442 meV per atom
- Space group: Pmm2, No. 25

Cell lengths 3.7405, 4.4701, 10.3133 Å; angles 90.00, 90.00, 90.00 degrees
Last column: nearest neighbours and their distance in Å.
Atoms (fractional coordinates):
Ho (0.0000, 0.0000, 0.0000)  6 Cu 2.87-2.99, 1 Pd 2.91
Ho (0.0000, 0.5000, 0.2790)  7 Cu 2.88-3.00
Ho (0.5000, 0.0000, 0.4981)  2 Pd 2.94, 5 Cu 2.96-2.98
Ho (0.5000, 0.5000, 0.7783)  3 Cu 2.92-2.98, 4 Pd 2.98
Cu (0.0000, 0.5000, 0.5604)  2 Pd 2.76, 7 Ho 2.90-2.98
Cu (0.5000, 0.0000, 0.2111)  2 Cu 2.68, 7 Ho 2.87-3.00
Cu (0.5000, 0.5000, 0.0669)  2 Cu 2.68, 7 Ho 2.88-2.99
Pd (0.0000, 0.0000, 0.7178)  2 Cu 2.76, 7 Ho 2.91-2.98

(4)
Here is a geometry-optimized Cd2In6Hg structure from Alexandria. Energies are from PBE-GGA.

Values from the calculation:
- Formation enthalpy at 0 K: 25 meV per atom
- Energy above the most stable polymorph in this dataset: 11 meV per atom
- Space group: P-6m2, No. 187

Cell lengths 3.2813, 3.2813, 25.2634 Å; angles 90.00, 90.00, 120.00 degrees
Last column: nearest neighbours and their distance in Å.
Atoms (fractional coordinates):
Cd (0.0000, 0.0000, 0.1695)  6 Cd 3.28, 6 In 3.32
Cd (0.0000, 0.0000, 0.8305)  6 Cd 3.28, 6 In 3.32
In (0.0000, 0.0000, 0.3903)  9 In 3.28-3.42, 3 Hg 3.36
In (0.0000, 0.0000, 0.6097)  9 In 3.28-3.42, 3 Hg 3.36
In (0.6667, 0.3333, 0.0617)  7 In 3.12-3.28, 3 Cd 3.32
In (0.6667, 0.3333, 0.2775)  9 In 3.28-3.42, 3 Cd 3.32
In (0.6667, 0.3333, 0.7225)  9 In 3.28-3.42, 3 Cd 3.32
In (0.6667, 0.3333, 0.9383)  7 In 3.12-3.28, 3 Cd 3.32
Hg (0.6667, 0.3333, 0.5000)  6 Hg 3.28, 6 In 3.36

(5)
Here is a geometry-optimized LaPr3Nd4 structure from Alexandria. Energies are from PBE-GGA.

Values from the calculation:
- Formation enthalpy at 0 K: 13 meV per atom
- Energy above the most stable polymorph in this dataset: 0 meV per atom
- Space group: Pmna, No. 53

Cell lengths 10.5037, 7.3916, 7.3980 Å; angles 90.00, 90.00, 90.00 degrees
Last column: nearest neighbours and their distance in Å.
Atoms (fractional coordinates):
La (0.0000, 0.0000, 0.0000)  8 Nd 3.70-3.71, 4 Pr 3.71
La (0.5000, 0.0000, 0.5000)  8 Nd 3.70-3.71, 4 Pr 3.71
Pr (0.0000, 0.5000, 0.5000)  8 Nd 3.70, 4 Pr 3.70
Pr (0.2500, 0.2504, 0.2500)  8 Nd 3.69-3.71, 2 Pr 3.70, 2 La 3.71
Pr (0.2500, 0.7496, 0.7500)  8 Nd 3.69-3.71, 2 Pr 3.70, 2 La 3.71
Pr (0.5000, 0.5000, 0.0000)  8 Nd 3.70, 4 Pr 3.70
Pr (0.7500, 0.2504, 0.2500)  8 Nd 3.69-3.71, 2 Pr 3.70, 2 La 3.71
Pr (0.7500, 0.7496, 0.7500)  8 Nd 3.69-3.71, 2 Pr 3.70, 2 La 3.71
Nd (0.0000, 0.0000, 0.5000)  6 Pr 3.70-3.71, 2 La 3.70, 4 Nd 3.71
Nd (0.0000, 0.5000, 0.0000)  2 La 3.70, 6 Pr 3.70, 4 Nd 3.70
Nd (0.2500, 0.2505, 0.7500)  6 Pr 3.69-3.70, 4 Nd 3.70-3.71, 2 La 3.71
Nd (0.2500, 0.7495, 0.2500)  6 Pr 3.69-3.70, 4 Nd 3.70-3.71, 2 La 3.71
Nd (0.5000, 0.0000, 0.0000)  6 Pr 3.70-3.71, 2 La 3.70, 4 Nd 3.71
Nd (0.5000, 0.5000, 0.5000)  2 La 3.70, 6 Pr 3.70, 4 Nd 3.70
Nd (0.7500, 0.2505, 0.7500)  6 Pr 3.69-3.70, 4 Nd 3.70-3.71, 2 La 3.71
Nd (0.7500, 0.7495, 0.2500)  6 Pr 3.69-3.70, 4 Nd 3.70-3.71, 2 La 3.71

(6)
Here is a geometry-optimized Ba2LaF8 structure from Alexandria. Energies are from PBE-GGA.

Values from the calculation:
- Energy above the most stable polymorph in this dataset: 6 meV per atom
- E_form (uncorrected): -3.59 eV/atom
- Space group: C2/m, No. 12

Cell lengths 10.6168, 10.6168, 4.1625 Å; angles 101.25, 101.25, 22.61 degrees
Last column: nearest neighbours and their distance in Å.
Atoms (fractional coordinates):
Ba (0.1657, 0.1657, 0.1654)  12 F 2.70-2.95
Ba (0.8343, 0.8343, 0.8346)  12 F 2.70-2.95
La (0.5000, 0.5000, 0.5000)  8 F 2.45
F (0.0637, 0.0637, 0.5628)  2 La 2.45, 1 F 2.60
F (0.2500, 0.2500, 0.7495)  4 Ba 2.70, 8 F 2.85-2.95
F (0.3461, 0.3461, 0.3468)  8 F 2.78-2.86, 4 Ba 2.95
F (0.4363, 0.4363, 0.9369)  2 La 2.45, 1 F 2.60
F (0.5637, 0.5637, 0.0631)  2 La 2.45, 1 F 2.60
F (0.6539, 0.6539, 0.6532)  8 F 2.78-2.86, 4 Ba 2.95
F (0.7500, 0.7500, 0.2505)  4 Ba 2.70, 8 F 2.85-2.95
F (0.9363, 0.9363, 0.4372)  2 La 2.45, 1 F 2.60

(7)
Here is a geometry-optimized KCr2As structure from Alexandria. Energies are from PBE-GGA.

Values from the calculation:
- Formation enthalpy at 0 K: 583 meV per atom
- Space group: I4_1/amd, No. 141

Cell lengths 9.1013, 9.1013, 9.1013 Å; angles 143.29, 143.29, 52.89 degrees
Last column: nearest neighbours and their distance in Å.
Atoms (fractional coordinates):
K (0.3750, 0.6250, 0.7500)  8 Cr 3.80, 4 As 4.05
K (0.6250, 0.3750, 0.2500)  8 Cr 3.80, 4 As 4.05
Cr (0.0000, 0.0000, 0.0000)  2 As 2.49
Cr (0.0000, 0.0000, 0.5000)  2 As 2.49
Cr (0.0000, 0.5000, 0.0000)  2 As 2.49
Cr (0.5000, 0.0000, 0.5000)  2 As 2.49
As (0.1250, 0.8750, 0.2500)  4 Cr 2.49
As (0.8750, 0.1250, 0.7500)  4 Cr 2.49

(8)
Here is a geometry-optimized Ce2CoGe4Pt3 structure from Alexandria. Energies are from PBE-GGA.

Values from the calculation:
- Formation enthalpy at 0 K: -824 meV per atom
- Space group: P-4m2, No. 115

Cell lengths 4.2710, 4.2710, 10.1892 Å; angles 90.00, 90.00, 90.00 degrees
Last column: nearest neighbours and their distance in Å.
Atoms (fractional coordinates):
Ce (0.0000, 0.5000, 0.2425)  8 Ge 3.24-3.38, 2 Co 3.27, 6 Pt 3.27-3.28
Ce (0.5000, 0.0000, 0.7575)  8 Ge 3.24-3.38, 2 Co 3.27, 6 Pt 3.27-3.28
Co (0.5000, 0.5000, 0.0000)  4 Ge 2.49
Ge (0.0000, 0.0000, 0.5000)  4 Pt 2.52
Ge (0.0000, 0.5000, 0.8739)  3 Pt 2.47-2.49, 2 Co 2.49
Ge (0.5000, 0.0000, 0.1261)  3 Pt 2.47-2.49, 2 Co 2.49
Ge (0.5000, 0.5000, 0.5000)  4 Pt 2.52
Pt (0.0000, 0.0000, 0.0000)  4 Ge 2.49
Pt (0.0000, 0.5000, 0.6318)  5 Ge 2.47-2.52
Pt (0.5000, 0.0000, 0.3682)  5 Ge 2.47-2.52

(9)
Here is a geometry-optimized RhWCl2 structure from Alexandria. Energies are from PBE-GGA.

Values from the calculation:
- Energy above the most stable polymorph in this dataset: 829 meV per atom
- E_form (uncorrected): 0.64 eV/atom
- Space group: I-42d, No. 122

Cell lengths 8.4159, 8.4159, 8.4159 Å; angles 151.50, 151.50, 40.75 degrees
Last column: nearest neighbours and their distance in Å.
Atoms (fractional coordinates):
Rh (0.0000, 0.0000, 0.0000)  4 Cl 2.48
Rh (0.7500, 0.2500, 0.5000)  4 Cl 2.48
W (0.2500, 0.7500, 0.5000)  4 Cl 2.44
W (0.5000, 0.5000, 0.0000)  4 Cl 2.44
Cl (0.1375, 0.6250, 0.0125)  2 W 2.44, 2 Rh 2.48
Cl (0.3750, 0.3875, 0.5125)  2 W 2.44, 2 Rh 2.48
Cl (0.6125, 0.1250, 0.9875)  2 W 2.44, 2 Rh 2.48
Cl (0.8750, 0.8625, 0.4875)  2 W 2.44, 2 Rh 2.48

(10)
Here is a geometry-optimized K2TaSi structure from Alexandria. Energies are from PBE-GGA.

Values from the calculation:
- E_form (uncorrected): 0.93 eV/atom
- Space group: I4/mmm, No. 139

Cell lengths 6.6522, 6.6522, 6.6522 Å; angles 145.49, 145.49, 49.60 degrees
Last column: nearest neighbours and their distance in Å.
Atoms (fractional coordinates):
K (0.2500, 0.7500, 0.5000)  4 K 2.79
K (0.7500, 0.2500, 0.5000)  4 K 2.79
Ta (0.0000, 0.0000, 0.0000)  4 Si 2.79
Si (0.5000, 0.5000, 0.0000)  4 Ta 2.79

(11)
Here is a geometry-optimized Pa3ReTc2Ge3 structure from Alexandria. Energies are from PBE-GGA.

Values from the calculation:
- Formation enthalpy at 0 K: -423 meV per atom
- Space group: P-62m, No. 189

Cell lengths 7.0691, 7.0691, 3.9894 Å; angles 90.00, 90.00, 120.00 degrees
Last column: nearest neighbours and their distance in Å.
Atoms (fractional coordinates):
Pa (0.0000, 0.5819, 0.0000)  4 Tc 2.91, 1 Re 2.96, 6 Ge 3.11-3.25
Pa (0.4181, 0.4181, 0.0000)  4 Tc 2.91, 1 Re 2.96, 6 Ge 3.11-3.25
Pa (0.5819, 0.0000, 0.0000)  4 Tc 2.91, 1 Re 2.96, 6 Ge 3.11-3.25
Re (0.0000, 0.0000, 0.0000)  6 Ge 2.64, 3 Pa 2.96
Tc (0.3333, 0.6667, 0.5000)  3 Ge 2.72, 6 Pa 2.91
Tc (0.6667, 0.3333, 0.5000)  3 Ge 2.72, 6 Pa 2.91
Ge (0.0000, 0.2451, 0.5000)  2 Re 2.64, 2 Tc 2.72
Ge (0.2451, 0.0000, 0.5000)  2 Re 2.64, 2 Tc 2.72
Ge (0.7549, 0.7549, 0.5000)  2 Re 2.64, 2 Tc 2.72

(12)
Here is a geometry-optimized Li2Pb structure from Alexandria. Energies are from PBE-GGA.

Values from the calculation:
- Formation enthalpy at 0 K: -136 meV per atom
- Space group: Fd-3m, No. 227

Cell lengths 5.6410, 5.6410, 5.6410 Å; angles 60.00, 60.00, 60.00 degrees
Last column: nearest neighbours and their distance in Å.
Atoms (fractional coordinates):
Li (0.0000, 0.0000, 0.0000)  6 Li 2.82
Li (0.0000, 0.0000, 0.5000)  6 Li 2.82
Li (0.0000, 0.5000, 0.0000)  6 Li 2.82
Li (0.5000, 0.0000, 0.0000)  6 Li 2.82
Pb (0.3750, 0.3750, 0.3750)  12 Li 3.31, 4 Pb 3.45
Pb (0.6250, 0.6250, 0.6250)  12 Li 3.31, 4 Pb 3.45